# TmInTeS

Crystalline TmInTeS at its relaxed geometry (PBE, the Alexandria database). Values from VASP.

```
&SYSTEM
  ibrav = 0, nat = 4, ntyp = 4
/
ATOMIC_SPECIES
Tm 168.93 Tm.upf
In 114.82 In.upf
Te 127.60 Te.upf
S 32.06 S.upf
ATOMIC_POSITIONS crystal
Tm 0.000 0.000 0.000
In 0.162 0.162 0.162
Te 0.584 0.584 0.584
S 0.383 0.383 0.383
CELL_PARAMETERS angstrom
2.080 1.201 8.015
-2.080 1.201 8.015
0.000 -2.402 8.015
```

Results
VASP energy in eV/atom: -4.770
Formation energy without anion corrections in eV per atom: -1.150
Mass density in g/cm³: 6.1